# 1
! LaTb6Se8 | the Alexandria database | PBE | relaxed; values from VASP
&SYSTEM
  ibrav = 0, nat = 15, ntyp = 3
/
ATOMIC_SPECIES
La 138.91 La.upf
Tb 158.93 Tb.upf
Se 78.96 Se.upf
CELL_PARAMETERS angstrom
0.000 5.796 5.796
5.796 0.000 5.796
5.796 5.796 0.000
ATOMIC_POSITIONS crystal
La 0.000 0.000 0.000
Tb 0.000 0.000 0.500
Tb 0.000 0.500 0.000
Tb 0.000 0.500 0.500
Tb 0.500 0.000 0.000
Tb 0.500 0.000 0.500
Tb 0.500 0.500 0.000
Se 0.250 0.250 0.250
Se 0.261 0.261 0.739
Se 0.261 0.739 0.261
Se 0.261 0.739 0.739
Se 0.739 0.261 0.261
Se 0.739 0.261 0.739
Se 0.739 0.739 0.261
Se 0.750 0.750 0.750
! V ... 25.96 A^3/atom
! VASP energy ... -0.433 Ry/atom
! Theoretical density ... 7.35 Mg/m³
! Energy relative to the elements, uncorrected ... -1848 meV per atom

---

# 2
! LaTbSe3 | the Alexandria database | PBE | relaxed; values from VASP
&SYSTEM
  ibrav = 0, nat = 20, ntyp = 3
/
ATOMIC_SPECIES
La 138.91 La.upf
Tb 158.93 Tb.upf
Se 78.96 Se.upf
CELL_PARAMETERS angstrom
7.817 0.000 0.000
0.000 4.227 0.000
0.000 0.000 16.191
ATOMIC_POSITIONS crystal
La 0.140 0.250 0.201
La 0.360 0.750 0.701
La 0.640 0.250 0.299
La 0.860 0.750 0.799
Tb 0.229 0.750 0.457
Tb 0.271 0.250 0.957
Tb 0.729 0.750 0.043
Tb 0.771 0.250 0.543
Se 0.010 0.250 0.395
Se 0.124 0.750 0.062
Se 0.152 0.250 0.784
Se 0.348 0.750 0.284
Se 0.376 0.250 0.562
Se 0.490 0.750 0.895
Se 0.510 0.250 0.105
Se 0.624 0.750 0.438
Se 0.652 0.250 0.716
Se 0.848 0.750 0.216
Se 0.876 0.250 0.938
Se 0.990 0.750 0.605
! Energy above the lowest structure with this stoichiometry ... 0 meV per atom
! V ... 26.75 A^3/atom
! VASP energy ... -0.439 Ry/atom
! Theoretical density ... 6.64 Mg/m³
! Energy relative to the elements, uncorrected ... -1973 meV per atom

---

# 3
! LaTb2Se4 | the Alexandria database | PBE | relaxed; values from VASP
&SYSTEM
  ibrav = 0, nat = 28, ntyp = 3
/
ATOMIC_SPECIES
La 138.91 La.upf
Tb 158.93 Tb.upf
Se 78.96 Se.upf
CELL_PARAMETERS angstrom
12.416 0.000 0.000
0.000 4.096 0.000
0.000 0.000 14.994
ATOMIC_POSITIONS crystal
La 0.244 0.250 0.167
La 0.256 0.750 0.667
La 0.744 0.250 0.333
La 0.756 0.750 0.833
Tb 0.069 0.250 0.391
Tb 0.085 0.250 0.905
Tb 0.415 0.750 0.405
Tb 0.431 0.750 0.891
Tb 0.569 0.250 0.109
Tb 0.585 0.250 0.595
Tb 0.915 0.750 0.095
Tb 0.931 0.750 0.609
Se 0.025 0.750 0.783
Se 0.092 0.250 0.581
Se 0.136 0.750 0.034
Se 0.207 0.750 0.318
Se 0.293 0.250 0.818
Se 0.364 0.250 0.534
Se 0.408 0.750 0.081
Se 0.475 0.250 0.283
Se 0.525 0.750 0.717
Se 0.592 0.250 0.919
Se 0.636 0.750 0.466
Se 0.707 0.750 0.182
Se 0.793 0.250 0.682
Se 0.864 0.250 0.966
Se 0.908 0.750 0.419
Se 0.975 0.250 0.217
! Energy above the lowest structure with this stoichiometry ... 14 meV per atom
! V ... 27.23 A^3/atom
! VASP energy ... -0.436 Ry/atom
! Theoretical density ... 6.73 Mg/m³
! Energy relative to the elements, uncorrected ... -1918 meV per atom

---

# 4
! LaTb3Se4 | the Alexandria database | PBE | relaxed; values from VASP
&SYSTEM
  ibrav = 0, nat = 16, ntyp = 3
/
ATOMIC_SPECIES
La 138.91 La.upf
Tb 158.93 Tb.upf
Se 78.96 Se.upf
CELL_PARAMETERS angstrom
8.400 0.000 0.000
0.000 11.747 0.000
0.000 0.000 4.101
ATOMIC_POSITIONS crystal
La 0.000 0.000 0.000
La 0.500 0.500 0.000
Tb 0.000 0.500 0.000
Tb 0.250 0.250 0.500
Tb 0.250 0.750 0.500
Tb 0.500 0.000 0.000
Tb 0.750 0.250 0.500
Tb 0.750 0.750 0.500
Se 0.000 0.255 0.000
Se 0.000 0.745 0.000
Se 0.239 0.500 0.500
Se 0.261 0.000 0.500
Se 0.500 0.245 0.000
Se 0.500 0.755 0.000
Se 0.739 0.000 0.500
Se 0.761 0.500 0.500
! Energy above the lowest structure with this stoichiometry ... 0 meV per atom
! V ... 25.29 A^3/atom
! VASP energy ... -0.435 Ry/atom
! Theoretical density ... 7.64 Mg/m³
! Energy relative to the elements, uncorrected ... -1823 meV per atom

---

# 5
! LaTbSe3 | the Alexandria database | PBE | relaxed; values from VASP
&SYSTEM
  ibrav = 0, nat = 10, ntyp = 3
/
ATOMIC_SPECIES
La 138.91 La.upf
Tb 158.93 Tb.upf
Se 78.96 Se.upf
CELL_PARAMETERS angstrom
4.204 0.000 0.000
0.000 7.093 0.000
0.000 0.000 9.197
ATOMIC_POSITIONS crystal
La 0.250 0.250 0.150
La 0.750 0.750 0.850
Tb 0.250 0.750 0.399
Tb 0.750 0.250 0.601
Se 0.250 0.519 0.665
Se 0.250 0.750 0.072
Se 0.250 0.981 0.665
Se 0.750 0.019 0.335
Se 0.750 0.250 0.928
Se 0.750 0.481 0.335
! Energy above the lowest structure with this stoichiometry ... 43 meV per atom
! V ... 27.43 A^3/atom
! VASP energy ... -0.436 Ry/atom
! Theoretical density ... 6.48 Mg/m³
! Energy relative to the elements, uncorrected ... -1930 meV per atom

---

# 6
! La2TbSe4 | the Alexandria database | PBE | relaxed; values from VASP
&SYSTEM
  ibrav = 0, nat = 14, ntyp = 3
/
ATOMIC_SPECIES
La 138.91 La.upf
Tb 158.93 Tb.upf
Se 78.96 Se.upf
CELL_PARAMETERS angstrom
-4.194 4.291 5.901
4.194 -4.291 5.901
4.194 4.291 -5.901
ATOMIC_POSITIONS crystal
La 0.000 0.000 0.000
La 0.500 0.000 0.000
La 0.500 0.000 0.500
La 0.500 0.500 0.500
Tb 0.000 0.000 0.500
Tb 0.000 0.500 0.000
Se 0.233 0.743 0.490
Se 0.245 0.244 0.499
Se 0.245 0.746 0.001
Se 0.247 0.257 0.990
Se 0.753 0.743 0.010
Se 0.755 0.254 0.999
Se 0.755 0.756 0.501
Se 0.767 0.257 0.510
! Energy above the lowest structure with this stoichiometry ... 0 meV per atom
! V ... 30.34 A^3/atom
! VASP energy ... -0.440 Ry/atom
! Theoretical density ... 5.88 Mg/m³
! Energy relative to the elements, uncorrected ... -1928 meV per atom